VASP calculation (PBE) on crystalline RbP2PdO6 at its relaxed geometry.

Summary:
Volume (Å³/atom): 17.8
Total DFT energy (no corrections) (eV per atom): -6.198
Magnetic moment (μB/atom): 0.0999
Symmetry: R-3 (148)
ρ (g/cm³): 3.257
DOS(E_F) (states/eV/f.u.): 3.41

POSCAR file:
```
RbP2PdO6
1.0
2.8874 1.6670 6.1755
-2.8874 1.6670 6.1755
0.0000 -3.3341 6.1755
Rb P Pd O
1 2 1 6
Direct
0.0000 0.0000 0.0000
0.2421 0.2421 0.2421
0.7579 0.7579 0.7579
0.5000 0.5000 0.5000
0.0446 0.6967 0.5353
0.3033 0.4647 0.9554
0.4647 0.9554 0.3033
0.5353 0.0446 0.6967
0.6967 0.5353 0.0446
0.9554 0.3033 0.4647
```



VASP calculation (PBE) on crystalline ZrAs2SeI at its relaxed geometry.

Summary:
Volume (Å³/atom): 29.2
Total DFT energy (no corrections) (eV per atom): -4.520
Magnetic moment (μB/atom): 0.0000
Symmetry: P4/mmm (123)
ρ (g/cm³): 5.075
DOS(E_F) (states/eV/f.u.): 5.28

POSCAR file:
```
ZrAs2SeI
1.0
5.3587 0.0000 0.0000
0.0000 5.3587 0.0000
0.0000 0.0000 5.0926
Zr As Se I
1 2 1 1
Direct
0.0000 0.0000 0.0000
0.0000 0.5000 0.0000
0.5000 0.0000 0.0000
0.0000 0.0000 0.5000
0.5000 0.5000 0.5000
```



VASP calculation (PBE) on crystalline SrCu3Bi3 at its relaxed geometry.

Summary:
Volume (Å³/atom): 29.1
Total DFT energy (no corrections) (eV per atom): -3.588
E_form (eV per formula unit): 0.5
Magnetic moment (μB/atom): 0.0000
Symmetry: Pm-3n (223)
ρ (g/cm³): 7.390
DOS(E_F) (states/eV/f.u.): 4.42

POSCAR file:
```
SrCu3Bi3
1.0
7.4097 0.0000 0.0000
0.0000 7.4097 0.0000
0.0000 0.0000 7.4097
Sr Cu Bi
2 6 6
Direct
0.0000 0.0000 0.0000
0.5000 0.5000 0.5000
0.0000 0.2500 0.5000
0.0000 0.7500 0.5000
0.2500 0.5000 0.0000
0.5000 0.0000 0.2500
0.5000 0.0000 0.7500
0.7500 0.5000 0.0000
0.0000 0.5000 0.2500
0.0000 0.5000 0.7500
0.2500 0.0000 0.5000
0.5000 0.2500 0.0000
0.5000 0.7500 0.0000
0.7500 0.0000 0.5000
```



VASP calculation (PBE) on crystalline La4ZnAu at its relaxed geometry.

Summary:
Volume (Å³/atom): 30.6
Total DFT energy (no corrections) (eV per atom): -4.389
E_form (eV per formula unit): -2.1
Magnetic moment (μB/atom): 0.0000
Symmetry: Pnma (62)
ρ (g/cm³): 7.409
DOS(E_F) (states/eV/f.u.): 8.00

POSCAR file:
```
La4ZnAu
1.0
8.4176 0.0000 0.0000
0.0000 4.8824 0.0000
0.0000 0.0000 17.8428
La Zn Au
16 4 4
Direct
0.0191 0.2500 0.0791
0.0614 0.2500 0.7776
0.1108 0.2500 0.3554
0.1588 0.2500 0.5617
0.3412 0.7500 0.0617
0.3892 0.7500 0.8554
0.4386 0.7500 0.2776
0.4809 0.7500 0.5791
0.5191 0.2500 0.4209
0.5614 0.2500 0.7224
0.6108 0.2500 0.1446
0.6588 0.2500 0.9383
0.8412 0.7500 0.4383
0.8892 0.7500 0.6446
0.9386 0.7500 0.2224
0.9809 0.7500 0.9209
0.2498 0.2500 0.9428
0.2502 0.7500 0.4428
0.7498 0.2500 0.5572
0.7502 0.7500 0.0572
0.2362 0.7500 0.7002
0.2638 0.2500 0.2002
0.7362 0.7500 0.7998
0.7638 0.2500 0.2998
```



VASP calculation (PBE) on crystalline BiSb2TeI at its relaxed geometry.

Summary:
Volume (Å³/atom): 41.7
Total DFT energy (no corrections) (eV per atom): -2.609
Magnetic moment (μB/atom): 0.1298
Symmetry: P4/mmm (123)
ρ (g/cm³): 5.628
DOS(E_F) (states/eV/f.u.): 7.82

POSCAR file:
```
BiSb2TeI
1.0
5.9490 0.0000 0.0000
0.0000 5.9490 0.0000
0.0000 0.0000 5.8945
Bi Sb Te I
1 2 1 1
Direct
0.0000 0.0000 0.0000
0.0000 0.5000 0.0000
0.5000 0.0000 0.0000
0.0000 0.0000 0.5000
0.5000 0.5000 0.5000
```



VASP calculation (PBE) on crystalline MnAlIn2 at its relaxed geometry.

Summary:
Volume (Å³/atom): 20.1
Total DFT energy (no corrections) (eV per atom): -4.362
E_form (eV per formula unit): 0.9
Magnetic moment (μB/atom): 0.8863
Symmetry: R-3m (166)
ρ (g/cm³): 6.429
DOS(E_F) (states/eV/f.u.): 2.21

POSCAR file:
```
MnAlIn2
1.0
3.1639 0.0000 0.0000
-1.5819 2.7400 0.0000
0.0000 0.0000 27.8464
Mn Al In
3 3 6
Direct
0.0000 0.0000 0.0000
0.3333 0.6667 0.6667
0.6667 0.3333 0.3333
0.0000 0.0000 0.5000
0.3333 0.6667 0.1667
0.6667 0.3333 0.8333
0.0000 0.0000 0.2536
0.0000 0.0000 0.7464
0.3333 0.6667 0.4131
0.3333 0.6667 0.9202
0.6667 0.3333 0.0798
0.6667 0.3333 0.5869
```



VASP calculation (PBE) on crystalline AgAs2Rh at its relaxed geometry.

Summary:
Volume (Å³/atom): 18.3
Total DFT energy (no corrections) (eV per atom): -4.889
E_form (eV per formula unit): -0.1
Magnetic moment (μB/atom): 0.0000
Symmetry: Imm2 (44)
ρ (g/cm³): 8.174
DOS(E_F) (states/eV/f.u.): 3.32

POSCAR file:
```
AgAs2Rh
1.0
2.9831 0.0000 0.0000
0.0000 3.9265 0.0000
0.0000 0.0000 12.5089
Ag As Rh
2 4 2
Direct
0.0000 0.0000 0.0000
0.5000 0.5000 0.5000
0.0000 0.0000 0.6151
0.0000 0.5000 0.8386
0.5000 0.0000 0.3386
0.5000 0.5000 0.1151
0.0000 0.5000 0.2779
0.5000 0.0000 0.7779
```



VASP calculation (PBE) on crystalline Re2AgIr at its relaxed geometry.

Summary:
Volume (Å³/atom): 15.4
Total DFT energy (no corrections) (eV per atom): -8.734
E_form (eV per formula unit): 1.7
Magnetic moment (μB/atom): 0.0001
Symmetry: Pmmm (47)
ρ (g/cm³): 18.158
DOS(E_F) (states/eV/f.u.): 4.97

POSCAR file:
```
Re2AgIr
1.0
2.7338 0.0000 0.0000
0.0000 4.0632 0.0000
0.0000 0.0000 5.5367
Re Ag Ir
2 1 1
Direct
0.0000 0.0000 0.2306
0.0000 0.0000 0.7694
0.5000 0.5000 0.5000
0.5000 0.5000 0.0000
```



What is the ρ in the eighth record? 18.158 g/cm³



Which formula does entry 8 have? Re2AgIr